The following is a PBE-GGA calculation of an optimized crystal structure of Mg6Tl5Sn, from Alexandria via LeMat-Bulk.

abc: 5.224 7.178 9.012
angles: 111.92 106.16 91.59
Atoms (fractional coordinates):
Mg1 0.001 0.247 0.000
Mg2 0.338 0.589 0.672
Mg3 0.340 0.085 0.674
Mg4 0.660 0.915 0.326
Mg5 0.662 0.411 0.328
Mg6 0.999 0.753 0.000
Tl1 0.165 0.667 0.334
Tl2 0.169 0.171 0.340
Tl3 0.500 0.500 0.000
Tl4 0.831 0.829 0.660
Tl5 0.835 0.333 0.666
Sn1 0.500 0.000 0.000

Output
E_form = -0.050 eV/atom